The following is a DFT calculation (PBE-GGA) of RbPaPbSe4 after structural relaxation.

Unit cell a=10.1917 b=8.6753 c=8.7481 alpha=120.28 beta=90.00 gamma=125.97
With the nearest neighbours (Å) after each atom.
Positions (direct):
1 Rb 0.9462 0.8925 0.1962  4 Se 3.32-3.33
2 Rb 0.0538 0.1075 0.8038  4 Se 3.32-3.33
3 Pa 0.5000 0.0000 0.5000  6 Se 2.72-2.84
4 Pa 0.5000 0.0000 0.0000  6 Se 2.72-2.84
5 Pb 0.5000 0.5000 0.5000  6 Se 3.07-3.16
6 Pb 0.0000 0.5000 0.5000  6 Se 3.07-3.16
7 Se 0.7463 0.4926 0.7097  1 Pa 2.72
8 Se 0.3030 0.9584 0.2292  2 Pa 2.84, 1 Pb 3.07
9 Se 0.6554 0.9584 0.2292  2 Pa 2.84, 1 Pb 3.07
10 Se 0.7463 0.4926 0.2829  1 Pa 2.72
11 Se 0.2537 0.5074 0.7171  1 Pa 2.72
12 Se 0.6970 0.0416 0.7708  2 Pa 2.84, 1 Pb 3.07
13 Se 0.3446 0.0416 0.7708  2 Pa 2.84, 1 Pb 3.07
14 Se 0.2537 0.5074 0.2903  1 Pa 2.72

Summary:
raw formation energy = -1125 meV per atom
VASP energy = -35.982 eV/f.u.
space-group type = Imma (74)